First-principles (PBE) data for a geometry-optimized Cs2SiIr structure, as listed in Alexandria.

Cell lengths 5.7286, 5.7286, 5.7286 Å; angles 60.00, 60.00, 60.00 degrees
Sites, in units of the cell vectors:
1 Cs 0.2500 0.2500 0.2500
2 Cs 0.7500 0.7500 0.7500
3 Si 0.0000 0.0000 0.0000
4 Ir 0.5000 0.5000 0.5000

Its symmetry is Fm-3m. The value obtained for the magnetization is 0.00 μB per formula unit. As for the volume: 132.9 Å³/f.u. The energy relative to the elements, uncorrected is 137.9 kJ/mol of atoms.